1.
# Sr2CrCd

A relaxed Sr2CrCd crystal (GGA-PBE, the Alexandria database).

Structure (POSCAR):
```
Sr2CrCd
1.0
0.0000 3.9105 3.9105
3.9105 0.0000 3.9105
3.9105 3.9105 0.0000
Sr Cr Cd
2 1 1
Direct
0.0000 0.0000 0.0000 Sr
0.2500 0.2500 0.2500 Sr
0.5000 0.5000 0.5000 Cr
0.7500 0.7500 0.7500 Cd
```

space-group type	No. 216
size of the total moment	5.0	μB per formula unit
DFT formation energy	0.341	eV per atom

***

2.
# Pm3SmDy5

A relaxed Pm3SmDy5 crystal (GGA-PBE, the Alexandria database).

Structure (POSCAR):
```
Pm3SmDy5
1.0
-4.3557 4.3557 7.7920
4.3557 -4.3557 7.7920
4.3557 4.3557 -7.7920
Pm Sm Dy
6 2 10
Direct
0.1173 0.6173 0.7347 Pm
0.2500 0.2500 0.0000 Pm
0.3827 0.1173 0.5000 Pm
0.6173 0.8827 0.5000 Pm
0.7500 0.7500 0.0000 Pm
0.8827 0.3827 0.2653 Pm
0.2500 0.7500 0.5000 Sm
0.7500 0.2500 0.5000 Sm
0.0000 0.0000 0.0000 Dy
0.0713 0.1541 0.5000 Dy
0.1541 0.6541 0.0828 Dy
0.3459 0.4287 0.5000 Dy
0.4287 0.9287 0.0828 Dy
0.5000 0.5000 0.0000 Dy
0.5713 0.0713 0.9172 Dy
0.6541 0.5713 0.5000 Dy
0.8459 0.3459 0.9172 Dy
0.9287 0.8459 0.5000 Dy
```

space-group type	No. 140
ΔE to the lowest computed polymorph	0.000	eV per atom
size of the total moment	0.0	μB per formula unit
DFT formation energy	0.259	eV per atom

***

3.
# CeNd2Dy2

A relaxed CeNd2Dy2 crystal (GGA-PBE, the Alexandria database).

Structure (POSCAR):
```
CeNd2Dy2
1.0
-2.0935 2.0935 12.2598
2.0935 -2.0935 12.2598
2.0935 2.0935 -12.2598
Ce Nd Dy
1 2 2
Direct
0.0000 0.0000 0.0000 Ce
0.2500 0.7500 0.5000 Nd
0.7500 0.2500 0.5000 Nd
0.1299 0.1299 0.0000 Dy
0.8701 0.8701 0.0000 Dy
```

space-group type	No. 139
size of the total moment	3.3	μB per formula unit
DFT formation energy	1.112	eV per atom

***

4.
# LaY4Tm4

A relaxed LaY4Tm4 crystal (GGA-PBE, the Alexandria database).

Structure (POSCAR):
```
LaY4Tm4
1.0
-5.3455 5.3455 2.5040
5.3455 -5.3455 2.5040
5.3455 5.3455 -2.5040
La Y Tm
1 4 4
Direct
0.0000 0.0000 0.0000 La
0.0000 0.3328 0.3328 Y
0.0000 0.6672 0.6672 Y
0.3328 0.0000 0.3328 Y
0.6672 0.0000 0.6672 Y
0.3317 0.3317 0.6634 Tm
0.3317 0.6683 0.0000 Tm
0.6683 0.3317 0.0000 Tm
0.6683 0.6683 0.3366 Tm
```

space-group type	No. 139
ΔE to the lowest computed polymorph	0.000	eV per atom
size of the total moment	0.0	μB per formula unit
DFT formation energy	0.033	eV per atom

***

5.
# Zr3NbIr

A relaxed Zr3NbIr crystal (GGA-PBE, the Alexandria database).

Structure (POSCAR):
```
Zr3NbIr
1.0
5.0229 0.0000 0.0000
0.0000 5.0229 0.0000
0.0000 0.0000 5.0229
Zr Nb Ir
3 1 1
Direct
0.0000 0.0000 0.5000 Zr
0.0000 0.5000 0.0000 Zr
0.5000 0.0000 0.0000 Zr
0.5000 0.5000 0.5000 Nb
0.0000 0.0000 0.0000 Ir
```

space-group type	No. 221
ΔE to the lowest computed polymorph	0.000	eV per atom
size of the total moment	0.9	μB per formula unit
DFT formation energy	0.513	eV per atom

***

6.
# Pm8CoNi2

A relaxed Pm8CoNi2 crystal (GGA-PBE, the Alexandria database).

Structure (POSCAR):
```
Pm8CoNi2
1.0
8.7801 -2.5564 0.0000
8.7801 2.5564 0.0000
-1.6029 0.0000 6.5055
Pm Co Ni
8 1 2
Direct
0.0371 0.0371 0.2939 Pm
0.2000 0.2000 0.8356 Pm
0.3304 0.3304 0.5242 Pm
0.4125 0.4125 0.0605 Pm
0.5875 0.5875 0.9395 Pm
0.6696 0.6696 0.4758 Pm
0.8000 0.8000 0.1644 Pm
0.9629 0.9629 0.7061 Pm
0.5000 0.5000 0.5000 Co
0.1898 0.1898 0.2365 Ni
0.8102 0.8102 0.7635 Ni
```

space-group type	No. 12
ΔE to the lowest computed polymorph	0.000	eV per atom
size of the total moment	0.0	μB per formula unit
DFT formation energy	-0.094	eV per atom